The following is a DFT calculation (PBE-GGA) of HoCoSi3Ni after structural relaxation.

Unit cell a=5.4615 b=5.9435 c=6.8604 alpha=115.67 beta=90.00 gamma=90.00
With the nearest neighbours (Å) after each atom.
Element x y z (fractional)
Si  0.0000  0.2907  0.0000  2 Co 2.27, 2 Ni 2.31, 1 Si 2.49
Si  0.7500  0.7839  0.5678  1 Ni 2.12, 1 Co 2.13
Si  0.0000  0.7093  0.0000  2 Co 2.27, 2 Ni 2.31, 1 Si 2.49
Si  0.5000  0.2907  0.0000  2 Co 2.27, 2 Ni 2.31, 1 Si 2.49
Si  0.2500  0.2161  0.4322  1 Ni 2.12, 1 Co 2.13
Si  0.5000  0.7093  0.0000  2 Co 2.27, 2 Ni 2.31, 1 Si 2.49
Co  0.7500  0.9562  0.9125  5 Si 2.13-2.27
Co  0.2500  0.0438  0.0875  5 Si 2.13-2.27
Ho  0.7500  0.2068  0.4135  2 Si 2.73
Ho  0.2500  0.7932  0.5865  2 Si 2.73
Ni  0.7500  0.6124  0.2247  5 Si 2.12-2.31
Ni  0.2500  0.3876  0.7753  5 Si 2.12-2.31

Properties
The calculation puts the formation energy without anion corrections at -0.385 eV/atom. Its space group is Cmcm (63). As for the magnetization: 0.0 μB per cell. As for the density: 6.07 g/cm³.


The following is a DFT calculation (PBE-GGA) of HoCoSi2Ni2 after structural relaxation.

Unit cell a=4.2483 b=4.2483 c=5.1221 alpha=90.00 beta=90.00 gamma=90.00
With the nearest neighbours (Å) after each atom.
Element x y z (fractional)
Ni  0.5000  0.5000  0.2531  4 Si 2.49, 2 Ni 2.53-2.59
Ni  0.5000  0.5000  0.7469  4 Si 2.49, 2 Ni 2.53-2.59
Ho  0.0000  0.0000  0.5000  2 Co 2.56
Si  0.0000  0.5000  0.0000  2 Co 2.12
Si  0.5000  0.0000  0.0000  2 Co 2.12
Co  0.0000  0.0000  0.0000  4 Si 2.12

Properties
The calculation puts the formation energy without anion corrections at -0.302 eV/atom. Its space group is P4/mmm (123). As for the magnetization: 0.0 μB per cell. As for the density: 7.14 g/cm³.


The following is a DFT calculation (PBE-GGA) of TbHoCoNi after structural relaxation.

Unit cell a=4.7425 b=4.7425 c=4.7425 alpha=60.00 beta=60.00 gamma=60.00
With the nearest neighbours (Å) after each atom.
Element x y z (fractional)
Tb  0.0000  0.0000  0.0000  4 Co 2.90, 4 Ni 2.90
Ho  0.5000  0.5000  0.5000  4 Ni 2.90, 4 Co 2.90
Co  0.7500  0.7500  0.7500  4 Tb 2.90, 4 Ho 2.90
Ni  0.2500  0.2500  0.2500  4 Tb 2.90, 4 Ho 2.90

Properties
Its excess energy over the best structure of this formula in the dataset is 54.9 meV/atom. Its space group is F-43m (216). As for the magnetization: 0.0 μB per cell. As for the density: 9.72 g/cm³. For the energy of formation, the calculation gives -0.26 eV per atom.


Q: Which value of magnetization does entry 1 give?
A: 0.0 μB per cell


Q: The highest density belongs to which entry?
A: TbHoCoNi


Q: density of number 1 (HoCoSi3Ni)?
A: 6.07 g/cm³